No. 1
A relaxed NaCdC2I crystal, computed with GGA-PBE.

Properties
Uncorrected formation energy, eV/atom: 2.315
Total moment, μB/cell: 0.079
VASP energy, eV per atom: -2.132
N(E_F), states/eV per cell: 2.62

Cell lengths 4.4201, 6.3428, 4.4201 Å; angles 90.00, 90.00, 90.00 degrees
With the nearest neighbours (Å) after each atom.
Sites, in units of the cell vectors:
Cd 0.0000 0.5000 0.0000  4 Na 3.13, 2 I 3.17
Na 0.5000 0.5000 0.5000  4 Cd 3.13
C 0.5000 0.0000 0.0000  2 I 2.21
C 0.0000 0.0000 0.5000  2 I 2.21
I 0.0000 0.0000 0.0000  4 C 2.21


No. 2
A relaxed Nb2CdCI crystal, computed with GGA-PBE.

Properties
Uncorrected formation energy, eV/atom: 2.177
Total moment, μB/cell: 0.951
VASP energy, eV per atom: -4.189
N(E_F), states/eV per cell: 4.14

Cell lengths 5.1589, 4.2087, 5.1589 Å; angles 90.00, 90.00, 90.00 degrees
With the nearest neighbours (Å) after each atom.
Sites, in units of the cell vectors:
Cd 0.5000 0.5000 0.5000  8 Nb 3.33, 4 C 3.65
Nb 0.5000 0.0000 0.0000  2 I 2.58
Nb 0.0000 0.0000 0.5000  2 I 2.58
C 0.0000 0.5000 0.0000  2 I 2.10
I 0.0000 0.0000 0.0000  2 C 2.10


No. 3
A relaxed Cd2CIO crystal, computed with GGA-PBE.

Properties
Uncorrected formation energy, eV/atom: 1.881
Total moment, μB/cell: 0.073
VASP energy, eV per atom: -1.632
N(E_F), states/eV per cell: 6.53

Cell lengths 5.8105, 4.1346, 5.8105 Å; angles 90.00, 90.00, 90.00 degrees
With the nearest neighbours (Å) after each atom.
Sites, in units of the cell vectors:
Cd 0.5000 0.0000 0.0000  2 I 2.91
Cd 0.0000 0.0000 0.5000  2 I 2.91
I 0.0000 0.0000 0.0000  2 C 2.07
O 0.5000 0.5000 0.5000  8 Cd 3.57
C 0.0000 0.5000 0.0000  2 I 2.07